GGA+U Li2V3CrO8, relaxed; space-group type = R-3m (166); excess energy over the best structure of this formula in the dataset = 0.0253 eV/atom
1.0
2.945 1.700 4.913
-2.945 1.700 4.913
0.000 -3.400 4.913
Li V Cr O
2 3 1 8
Cartesian
0.000 0.000 1.832
0.000 0.000 12.908
-1.472 -0.850 4.913
-1.472 0.850 9.827
0.000 1.700 4.913
0.000 0.000 7.370
0.000 -1.551 6.062
-1.344 0.776 6.062
0.000 0.000 3.849
-1.344 -0.776 8.678
1.344 0.776 6.062
0.000 0.000 10.891
1.344 -0.776 8.678
0.000 1.551 8.678